Ba5Np2N12 | PBE-GGA | relaxed

Calculated values
Energy relative to the elements, uncorrected (meV/atom): -519.3
DFT total energy (eV/atom): -7.646

abc: 6.9792 7.7743 7.7811
angles: 62.27 83.90 83.87
Fractional positions:
Ba (0.0000, 0.0000, 0.0000)
Ba (0.0283, 0.6803, 0.6818)
Ba (0.4841, 0.2382, 0.2353)
Ba (0.5159, 0.7618, 0.7647)
Ba (0.9717, 0.3197, 0.3182)
Np (0.4974, 0.7099, 0.2923)
Np (0.5026, 0.2901, 0.7077)
N (0.1839, 0.6191, 0.0189)
N (0.1865, 0.0198, 0.6156)
N (0.2898, 0.6428, 0.1277)
N (0.2946, 0.1259, 0.6402)
N (0.3702, 0.5769, 0.5812)
N (0.4111, 0.0225, 0.0175)
N (0.5889, 0.9775, 0.9825)
N (0.6298, 0.4231, 0.4188)
N (0.7054, 0.8741, 0.3598)
N (0.7102, 0.3572, 0.8723)
N (0.8135, 0.9802, 0.3844)
N (0.8161, 0.3809, 0.9811)



Ba2Np3N8 | PBE-GGA | relaxed

Calculated values
Energy relative to the elements, uncorrected (meV/atom): -881.5
DFT total energy (eV/atom): -9.287

abc: 7.3351 7.3351 5.7102
angles: 109.53 109.53 58.39
Fractional positions:
Ba (0.2101, 0.2101, 0.1586)
Ba (0.7899, 0.7899, 0.8414)
Np (0.2408, 0.7592, 0.5000)
Np (0.5000, 0.5000, 0.0000)
Np (0.7592, 0.2408, 0.5000)
N (0.0899, 0.0899, 0.4735)
N (0.1949, 0.6222, 0.1373)
N (0.3778, 0.8051, 0.8627)
N (0.4150, 0.4150, 0.6182)
N (0.5850, 0.5850, 0.3818)
N (0.6222, 0.1949, 0.1373)
N (0.8051, 0.3778, 0.8627)
N (0.9101, 0.9101, 0.5265)



Ba5NpN6 | PBE-GGA | relaxed

Calculated values
Energy relative to the elements, uncorrected (meV/atom): -602.3
DFT total energy (eV/atom): -6.645

abc: 6.8184 6.8184 6.7095
angles: 99.58 99.58 120.46
Fractional positions:
Ba (0.0000, 0.0000, 0.0000)
Ba (0.1653, 0.8347, 0.5000)
Ba (0.3446, 0.6554, 0.0000)
Ba (0.6554, 0.3446, 0.0000)
Ba (0.8347, 0.1653, 0.5000)
Np (0.5000, 0.5000, 0.5000)
N (0.1867, 0.4322, 0.3062)
N (0.2946, 0.2946, 0.7244)
N (0.4322, 0.1867, 0.3062)
N (0.5678, 0.8133, 0.6938)
N (0.7054, 0.7054, 0.2756)
N (0.8133, 0.5678, 0.6938)